(1)
DFT (GGA-PBEsol) results for crystalline YScAg2 at its relaxed geometry.

abc: 3.5027 4.9108 4.9115
angles: 90.00 90.00 90.00
With the nearest neighbours (Å) after each atom.
Space group Pmm2 (No. 25)
Inequivalent atoms, fractional coordinates:
Y 0.0000 0.0000 0.0000 x1  8 Ag 3.02
Sc 0.0000 0.5000 0.4990 x1  8 Ag 3.01-3.02
Ag 0.5000 0.0000 0.5002 x1  4 Y 3.02, 4 Sc 3.02
Ag 0.5000 0.5000 0.9978 x1  4 Sc 3.01-3.02, 4 Y 3.02

Summary:
- energy above the most stable polymorph in this dataset (eV/atom) = 0.006

***

(2)
DFT (GGA-PBEsol) results for crystalline ScZn2Ag at its relaxed geometry.

abc: 6.3402 6.3402 6.3402
angles: 90.00 90.00 90.00
With the nearest neighbours (Å) after each atom.
Space group Fm-3m (No. 225)
Inequivalent atoms, fractional coordinates:
Sc 0.0000 0.0000 0.0000 x4  8 Zn 2.75
Zn 0.2500 0.2500 0.2500 x8  4 Sc 2.75, 4 Ag 2.75
Ag 0.0000 0.0000 0.5000 x4  8 Zn 2.75

Summary:
- energy above the most stable polymorph in this dataset (eV/atom) = 0.000

***

(3)
DFT (GGA-PBEsol) results for crystalline ScZn2Ag at its relaxed geometry.

abc: 4.0553 4.0553 4.0740
angles: 90.00 90.00 90.00
With the nearest neighbours (Å) after each atom.
Space group P4/mmm (No. 123)
Inequivalent atoms, fractional coordinates:
Sc 0.0000 0.0000 0.0000 x1  4 Ag 2.87, 8 Zn 2.87
Zn 0.0000 0.5000 0.5000 x2  4 Zn 2.87, 4 Sc 2.87, 4 Ag 2.87
Ag 0.5000 0.5000 0.0000 x1  4 Sc 2.87, 8 Zn 2.87

Summary:
- energy above the most stable polymorph in this dataset (eV/atom) = 0.118

***

(4)
DFT (GGA-PBEsol) results for crystalline ScZn4Ag at its relaxed geometry.

abc: 7.1867 7.1867 7.1867
angles: 90.00 90.00 90.00
With the nearest neighbours (Å) after each atom.
Space group F-43m (No. 216)
Inequivalent atoms, fractional coordinates:
Sc 0.0000 0.0000 0.0000 x4  12 Zn 2.98, 4 Ag 3.11
Zn 0.1254 0.1254 0.6254 x16  6 Zn 2.53-2.55
Ag 0.2500 0.2500 0.2500 x4  12 Zn 2.98, 4 Sc 3.11

***

(5)
DFT (GGA-PBEsol) results for crystalline ScZn2Ag at its relaxed geometry.

abc: 4.4862 4.4862 6.4098
angles: 90.00 90.00 90.00
With the nearest neighbours (Å) after each atom.
Space group I-4m2 (No. 119)
Inequivalent atoms, fractional coordinates:
Sc 0.0000 0.0000 0.0000 x2  4 Zn 2.76, 4 Ag 2.76
Zn 0.0000 0.0000 0.5000 x2  4 Zn 2.76, 4 Ag 2.76
Zn 0.0000 0.5000 0.7500 x2  4 Sc 2.76, 4 Zn 2.76
Ag 0.0000 0.5000 0.2500 x2  4 Sc 2.76, 4 Zn 2.76

Summary:
- energy above the most stable polymorph in this dataset (eV/atom) = 0.025

***

(6)
DFT (GGA-PBEsol) results for crystalline ScZn2Ag at its relaxed geometry.

abc: 3.1437 3.1437 6.6447
angles: 90.00 90.00 90.00
With the nearest neighbours (Å) after each atom.
Space group P4mm (No. 99)
Inequivalent atoms, fractional coordinates:
Sc 0.0000 0.0000 0.0000 x1  4 Zn 2.86, 4 Ag 2.91, 4 Sc 3.14
Zn 0.0000 0.0000 0.4831 x1  4 Zn 2.63, 4 Ag 2.71
Zn 0.5000 0.5000 0.2709 x1  4 Zn 2.63, 4 Sc 2.86
Ag 0.5000 0.5000 0.7164 x1  5 Zn 2.71-2.96, 4 Sc 2.91

Summary:
- energy above the most stable polymorph in this dataset (eV/atom) = 0.118

***

(7)
DFT (GGA-PBEsol) results for crystalline ScZnAg3 at its relaxed geometry.

abc: 4.6817 4.6817 4.6817
angles: 90.00 90.00 90.00
With the nearest neighbours (Å) after each atom.
Space group Pm-3m (No. 221)
Inequivalent atoms, fractional coordinates:
Sc 0.0000 0.0000 0.0000 x1  12 Ag 3.31
Zn 0.5000 0.5000 0.5000 x1  6 Ag 2.34
Ag 0.0000 0.5000 0.5000 x3  2 Zn 2.34

***

(8)
DFT (GGA-PBEsol) results for crystalline ScZn2Ag at its relaxed geometry.

abc: 4.2023 3.0380 10.4073
angles: 90.00 90.00 90.00
With the nearest neighbours (Å) after each atom.
Space group Amm2 (No. 38)
Inequivalent atoms, fractional coordinates:
Sc 0.0000 0.0000 0.0000 x2  7 Zn 2.77-2.86, 2 Sc 3.04, 4 Ag 3.10
Zn 0.0000 0.0000 0.7334 x2  2 Zn 2.49, 1 Sc 2.77
Zn 0.5000 0.0000 0.6054 x2  2 Zn 2.49
Ag 0.5000 0.0000 0.3373 x2  7 Zn 2.79-2.85, 2 Ag 3.04, 4 Sc 3.10

Summary:
- energy above the most stable polymorph in this dataset (eV/atom) = 0.104

***

Number 1: DOS(E_F) 0.6499 states/eV/atom, total magnetic moment 0.00 Bohr magnetons per cell, energy relative to the elements -0.2962 eV/atom. Number 2: DOS(E_F) 0.3519 states/eV/atom, total magnetic moment 0.00 Bohr magnetons per cell, energy relative to the elements -0.3107 eV/atom. Number 3: DOS(E_F) 0.7756 states/eV/atom, total magnetic moment 0.00 Bohr magnetons per cell, energy relative to the elements -0.1925 eV/atom. Number 4: DOS(E_F) 0.5528 states/eV/atom, total magnetic moment 0.00 Bohr magnetons per cell, energy relative to the elements -0.1959 eV/atom. Number 5: DOS(E_F) 0.4183 states/eV/atom, total magnetic moment 0.00 Bohr magnetons per cell, energy relative to the elements -0.2853 eV/atom. Number 6: DOS(E_F) 0.5359 states/eV/atom, total magnetic moment 0.00 Bohr magnetons per cell, energy relative to the elements -0.1929 eV/atom. Number 7: DOS(E_F) 0.7633 states/eV/atom, total magnetic moment 0.00 Bohr magnetons per cell, energy relative to the elements 0.3386 eV/atom. Number 8: DOS(E_F) 0.5982 states/eV/atom, total magnetic moment 0.00 Bohr magnetons per cell, energy relative to the elements -0.2063 eV/atom.